Entry 1:
ThPF PBE-GGA optimized geometry; ΔE to the lowest computed polymorph = 0.000 eV/atom; final energy = -7.312 eV per atom
1.0
3.9313 0.0000 0.0000
0.0000 4.1425 0.0000
0.0000 -2.0712 3.5875
P Th F
1 1 1
Direct
0.6667 0.3333 0.6667
0.1665 0.6667 0.3333
0.1668 0.0000 0.0000


Entry 2:
TbY4Se5 PBE-GGA optimized geometry; final energy = -6.556 eV per atom
1.0
4.0827 0.0000 0.0000
0.0000 4.0827 0.0000
-2.0414 -2.0414 14.5005
Tb Y Se
1 4 5
Direct
0.0000 0.0000 0.0000
0.4020 0.4020 0.8040
0.7971 0.7971 0.5942
0.2029 0.2029 0.4058
0.5980 0.5980 0.1960
0.1013 0.1013 0.2025
0.5000 0.5000 0.0000
0.8987 0.8987 0.7975
0.3020 0.3020 0.6041
0.6980 0.6980 0.3959


Entry 3:
CrReHg2 PBE-GGA optimized geometry; energy of formation = 3.244 eV/f.u.; ΔE to the lowest computed polymorph = 0.382 eV/atom; final energy = -4.858 eV per atom
1.0
-6.6233 -6.7962 0.0337
-4.7224 -7.9809 2.0154
-6.7641 -5.9868 2.9092
Cr Hg Re
1 2 1
Direct
0.7500 0.7500 0.7500
0.0016 0.0016 0.0016
0.4984 0.4984 0.4984
0.2500 0.2500 0.2500


Entry 4:
SmScHg PBE-GGA optimized geometry; energy of formation = -0.996 eV/f.u.; ΔE to the lowest computed polymorph = 0.000 eV/atom; final energy = -4.116 eV per atom
1.0
-1.2405 -3.0809 -3.3008
4.0749 0.7106 -2.1946
3.0713 -5.4542 3.9366
Sm Sc Hg
2 2 2
Direct
0.0000 0.5000 0.8598
0.5000 0.0000 0.1402
0.5000 0.5000 0.5000
0.0000 0.0000 0.5000
0.0000 0.5000 0.2642
0.5000 0.0000 0.7358


Entry 5:
Sr3ICl2O6 PBE-GGA optimized geometry; final energy = -4.921 eV per atom
1.0
-1.6303 -3.1602 4.1401
-2.0628 -4.7945 -4.4720
6.6897 -0.4683 2.6982
Sr I Cl O
3 1 2 6
Direct
0.0000 0.5000 0.0000
0.5000 0.5000 0.5000
0.5000 0.0000 0.5000
0.5000 0.0000 0.0000
0.0959 0.7123 0.4245
0.9041 0.2877 0.5755
0.6980 0.2610 0.1046
0.3020 0.7390 0.8954
0.6680 0.8667 0.7333
0.3320 0.1333 0.2667
0.3020 0.1564 0.8954
0.6980 0.8436 0.1046